# PBE-GGA KY2Mg, optimized geometry
data_KY2Mg
_space_group_name_H-M_alt 'R -3 m'
_space_group_IT_number 166
_space_group_name_Hall '-R 3 2"'
_cell_length_a 3.6158
_cell_length_b 3.6158
_cell_length_c 37.5631
_cell_angle_alpha 90.00
_cell_angle_beta 90.00
_cell_angle_gamma 120.00
loop_
_atom_site_label
_atom_site_type_symbol
_atom_site_fract_x
_atom_site_fract_y
_atom_site_fract_z
K1 K 0.0000 0.0000 0.0000
Y1 Y 0.0000 0.0000 0.2352
Mg1 Mg 0.0000 0.0000 0.5000
# Volume in Å³ per cell: 425.3
# Uncorrected energy in eV/f.u.: -14.65

# PBE-GGA Mn3SiAu, optimized geometry
data_Mn3SiAu
_space_group_name_H-M_alt 'P m -3 m'
_space_group_IT_number 221
_space_group_name_Hall '-P 4 2 3'
_cell_length_a 4.880
_cell_length_b 4.880
_cell_length_c 4.880
_cell_angle_alpha 90.00
_cell_angle_beta 90.00
_cell_angle_gamma 90.00
loop_
_atom_site_label
_atom_site_type_symbol
_atom_site_fract_x
_atom_site_fract_y
_atom_site_fract_z
Mn1 Mn 0.000 0.000 0.500
Si1 Si 0.500 0.500 0.500
Au1 Au 0.000 0.000 0.000
# Volume in Å³ per cell: 116.2
# Polymorph energy (0 for the lowest one) in eV/atom: 0.147
# Energy relative to the elements, uncorrected in eV/atom: 1.1140